Compound: Dy2Tm4S9
Source: Alexandria
Functional: GGA-PBE
Structure: optimized geometry

Cell lengths 6.8386, 6.8386, 18.3854 Å; angles 90.00, 90.00, 120.00 degrees
Closest atoms and distances in Å follow each position.
Space group P-3c1 (No. 165)
Symmetry-distinct sites (fractional):
Dy (0.0000, 0.0000, 0.1493) (multiplicity 4)  6 S 2.71-2.79
Tm (0.3333, 0.6667, 0.1831) (multiplicity 4)  6 S 2.68-2.75
Tm (0.3333, 0.6667, 0.4843) (multiplicity 4)  6 S 2.68-2.74
S (0.0000, 0.3049, 0.2500) (multiplicity 6)  2 Tm 2.68, 2 Dy 2.79
S (0.0304, 0.3689, 0.5833) (multiplicity 12)  3 Tm 2.68-2.75, 1 Dy 2.71

Properties
* total moment: 0.00 μB per cell
* crystal system: trigonal
* D(E_F): 0.00 states/eV/f.u.

Compound: Dy2TmS4
Source: Alexandria
Functional: GGA-PBE
Structure: optimized geometry

Cell lengths 14.1400, 3.9265, 6.8895 Å; angles 90.00, 116.62, 90.00 degrees
Closest atoms and distances in Å follow each position.
Space group C2/m (No. 12)
Symmetry-distinct sites (fractional):
Dy (0.2259, 0.0000, 0.2184) (multiplicity 4)  6 S 2.70-2.82
Tm (0.0000, 0.5000, 0.5000) (multiplicity 2)  6 S 2.70-2.75
S (0.1222, 0.5000, 0.9334) (multiplicity 4)  1 Tm 2.70, 3 Dy 2.70-2.78
S (0.1368, 0.0000, 0.5025) (multiplicity 4)  2 Tm 2.75, 3 Dy 2.76-2.82

Properties
* total moment: 0.00 μB per cell
* polymorph energy (0 for the lowest one): 0.356 eV per formula unit
* crystal system: monoclinic
* D(E_F): 2.47 states/eV/f.u.

Compound: DyTm3S6
Source: Alexandria
Functional: GGA-PBE
Structure: optimized geometry

Cell lengths 11.3475, 11.3475, 13.5342 Å; angles 90.00, 90.00, 120.00 degrees
Closest atoms and distances in Å follow each position.
Space group R-3 (No. 148, hexagonal axes)
Symmetry-distinct sites (fractional):
Dy (0.0000, 0.0000, 0.0000) (multiplicity 3)  6 S 2.68
Dy (0.0000, 0.0000, 0.5000) (multiplicity 3)  6 S 2.72
Tm (0.0499, 0.7797, 0.2032) (multiplicity 18)  6 S 2.68-2.80
S (0.0197, 0.8045, 0.3973) (multiplicity 18)  3 Tm 2.68-2.80, 1 Dy 2.72
S (0.0312, 0.8373, 0.8721) (multiplicity 18)  1 Dy 2.68, 3 Tm 2.68-2.77

Properties
* total moment: 0.00 μB per cell
* polymorph energy (0 for the lowest one): 0.280 eV per formula unit
* crystal system: trigonal
* D(E_F): 0.00 states/eV/f.u.

Formation energy without anion corrections for the records above, in order: -2.06; -2.01; -2.04 eV per atom